Crystalline La7Pm2Ho3 at its relaxed geometry, computed with PBE.

The space group is P2/m (No. 10) and the conventional cell measures 6.5622, 3.5979 and 17.8386 Å, with angles of 90.00, 95.52 and 90.00 degrees. Symmetry generates all atoms from La at (0.0000, 0.0000, 0.0000), La at (0.2278, 0.5000, 0.1722), La at (0.2618, 0.5000, 0.4906), La at (0.2803, 0.0000, 0.8342), Pm at (0.0595, 0.5000, 0.6698), Ho at (0.4574, 0.0000, 0.3383) and Ho at (0.5000, 0.5000, 0.0000).

***

Crystalline CsNi2AgHg at its relaxed geometry, computed with PBE.

The space group is P4/mmm (No. 123) and the conventional cell measures 4.8827, 4.8827 and 6.5262 Å, with angles of 90.00, 90.00 and 90.00 degrees. Symmetry generates all atoms from Cs at (0.0000, 0.0000, 0.0000), Ni at (0.0000, 0.5000, 0.0000), Ag at (0.5000, 0.5000, 0.5000) and Hg at (0.0000, 0.0000, 0.5000).

***

Crystalline NaBe3W at its relaxed geometry, computed with PBE.

The energy relative to the lowest polymorph listed for this composition is 490 meV per atom.

The space group is Pm-3m (No. 221) and the conventional cell measures 3.9611, 3.9611 and 3.9611 Å, with angles of 90.00, 90.00 and 90.00 degrees. Symmetry generates all atoms from Na at (0.0000, 0.0000, 0.0000), Be at (0.0000, 0.0000, 0.5000) and W at (0.5000, 0.5000, 0.5000).

***

Crystalline TcHgOs2 at its relaxed geometry, computed with PBE.

The space group is Pmmm (No. 47) and the conventional cell measures 2.7951, 3.9021 and 5.8521 Å, with angles of 90.00, 90.00 and 90.00 degrees. Symmetry generates all atoms from Tc at (0.0000, 0.0000, 0.0000), Hg at (0.0000, 0.0000, 0.5000) and Os at (0.5000, 0.5000, 0.2183).

***

Crystalline KBe4Te3O12 at its relaxed geometry, computed with PBE.

Its raw formation energy is -1.597 eV per atom.

The space group is R32 (No. 155, hexagonal axes) and the conventional cell measures 10.2382, 10.2382 and 8.4424 Å, with angles of 90.00, 90.00 and 120.00 degrees. Symmetry generates all atoms from K at (0.0000, 0.0000, 0.0000), Be at (0.0000, 0.0000, 0.5000), Be at (0.0000, 0.4417, 0.5000), Te at (0.0000, 0.5487, 0.0000), O at (0.0000, 0.5964, 0.5000), O at (0.0000, 0.8465, 0.5000) and O at (0.0323, 0.2168, 0.2125).

***

Crystalline KCd3Sb3 at its relaxed geometry, computed with PBE.

Its raw formation energy is -0.096 eV per atom. The energy relative to the lowest polymorph listed for this composition is 0 meV per atom.

The space group is R-3 (No. 148, hexagonal axes) and the conventional cell measures 7.8354, 7.8354 and 27.9273 Å, with angles of 90.00, 90.00 and 120.00 degrees. Symmetry generates all atoms from K at (0.0000, 0.0000, 0.1667), Cd at (0.0016, 0.3403, 0.3643) and Sb at (0.0004, 0.3267, 0.5904).

***

Number 1: total magnetization 0.00 Bohr magnetons per cell, total energy -4.75 eV per atom. Number 2: total magnetization 0.00 Bohr magnetons per cell, total energy -1.43 eV per atom. Number 3: total magnetization 0.00 Bohr magnetons per cell, total energy -3.32 eV per atom. Number 4: total magnetization 0.00 Bohr magnetons per cell, total energy -7.69 eV per atom. Number 5: total magnetization 0.00 Bohr magnetons per cell, total energy -5.84 eV per atom. Number 6: total magnetization 0.00 Bohr magnetons per cell, total energy -2.41 eV per atom.